Material: ErZr7Tl4
Method: DFT, PBE-GGA
State: optimized geometry

abc: 5.4643 9.9668 6.3552
angles: 83.15 64.54 74.09
Each line ends with the local moment (μB).
Atoms (fractional coordinates):
1 Er 0.0000 0.0000 0.0000  0.03
2 Zr 0.7809 0.9036 0.5345  0.19
3 Zr 0.2191 0.0964 0.4655  0.19
4 Zr 0.0357 0.6229 0.3057  0.16
5 Zr 0.9643 0.3771 0.6943  0.16
6 Zr 0.3529 0.5544 0.7398  -0.02
7 Zr 0.5000 0.0000 0.0000  -0.04
8 Zr 0.6471 0.4456 0.2602  -0.02
9 Tl 0.5923 0.2185 0.5970  0.00
10 Tl 0.4077 0.7815 0.4030  0.00
11 Tl 0.7154 0.6770 0.8922  0.00
12 Tl 0.2846 0.3230 0.1078  0.00

Output
The crystal system is monoclinic. For the total DFT energy (no corrections), the calculation gives -5.913 eV per atom. The value obtained for the formation energy from the elements is 242 meV/atom.

***

Material: CaBe2AsH2
Method: DFT, PBE-GGA
State: optimized geometry

abc: 4.3299 7.2016 6.6314
angles: 124.27 90.00 90.00
Atoms (fractional coordinates):
1 Ca 0.7500 0.2636 0.7280
2 Ca 0.2500 0.7364 0.2720
3 Be 0.4993 0.0982 0.2081
4 Be 0.0007 0.0982 0.2081
5 Be 0.9993 0.9018 0.7919
6 Be 0.5007 0.9018 0.7919
7 As 0.2500 0.2431 0.0201
8 As 0.7500 0.7569 0.9799
9 H 0.2500 0.1083 0.3852
10 H 0.2500 0.7409 0.6331
11 H 0.7500 0.8917 0.6148
12 H 0.7500 0.2591 0.3669

Output
The crystal system is monoclinic. For the total DFT energy (no corrections), the calculation gives -3.705 eV per atom.